[1]
HfBSb2 | PBE-GGA | relaxed

- Energy relative to the elements, uncorrected: 438.6 meV/atom

a b c (Å): 6.8421 6.8421 7.2406
angles (deg): 90.00 90.00 90.00
Closest atoms and distances in Å follow each position.
Space group I-42d (No. 122)
Unique sites:
Hf: 0.0000 0.0000 0.0000 [4 per cell]  4 Sb 2.96
B: 0.0000 0.0000 0.5000 [4 per cell]  4 Sb 2.27
Sb: 0.1722 0.2500 0.6250 [8 per cell]  2 B 2.27



[2]
La2TbSm2Dy2 | PBE-GGA | relaxed

- ΔH_f (0 K): 0.027 eV/atom

a b c (Å): 11.4979 5.1448 8.1023
angles (deg): 90.00 98.22 90.00
Closest atoms and distances in Å follow each position.
Space group C2/m (No. 12)
Unique sites:
La: 0.1428 0.0000 0.4265 [4 per cell]  1 Tb 3.61, 5 Sm 3.64-3.68, 3 La 3.64-3.65, 3 Dy 3.65-3.67
Tb: 0.0000 0.0000 0.0000 [2 per cell]  4 Sm 3.60, 6 Dy 3.60-3.64, 2 La 3.61
Sm: 0.0708 0.5000 0.7199 [4 per cell]  4 Dy 3.56-3.64, 2 Tb 3.60, 5 La 3.64-3.68, 1 Sm 3.70
Dy: 0.2156 0.5000 0.1381 [4 per cell]  4 Sm 3.56-3.64, 2 Dy 3.57, 3 Tb 3.60-3.64, 3 La 3.65-3.67



| no. | E_tot (eV/atom) |
| --- | --- |
| 1 | -5.780 |
| 2 | -4.706 |